Record 1
{
  "formula": "Li2ZnBr",
  "functional": "GGA-PBE",
  "state": "optimized geometry",
  "lattice": [[3.5305, 0.0280, -0.0222], [1.7299, 3.0778, -0.0222], [1.8145, 1.0713, 7.8009]],
  "species": ["Zn", "Li", "Li", "Br"],
  "frac_coords": [[0.7500, 0.7500, 0.7500], [0.9881, 0.9881, 0.0370], [0.5119, 0.5119, 0.4630], [0.2500, 0.2500, 0.2500]],
  "e_form_raw_ev_per_fu": -2.3,
  "rho_g_cm3": 3.1,
  "de_polymorph_mev_per_atom": 10
}

Record 2
{
  "formula": "LiZnBr2",
  "functional": "GGA-PBE",
  "state": "optimized geometry",
  "lattice": [[5.2236, 0.0000, 0.0000], [2.6118, 4.5238, 0.0000], [2.6118, 1.5079, 4.2651]],
  "species": ["Li", "Zn", "Br", "Br"],
  "frac_coords": [[0.5000, 0.5000, 0.5000], [0.7500, 0.7500, 0.7500], [0.0000, 0.0000, 0.0000], [0.2500, 0.2500, 0.2500]],
  "e_form_raw_ev_per_fu": -0.8,
  "rho_g_cm3": 3.8,
  "de_polymorph_mev_per_atom": 620
}

Record 3
{
  "formula": "Li2ZnBr",
  "functional": "GGA-PBE",
  "state": "optimized geometry",
  "lattice": [[0.5762, 0.6361, 4.8552], [1.1890, 4.4414, 1.7805], [-3.3185, 2.6002, 2.5566]],
  "species": ["Li", "Li", "Br", "Zn"],
  "frac_coords": [[0.7500, 0.7500, 0.7500], [0.2500, 0.2500, 0.2500], [0.5000, 0.5000, 0.5000], [0.0000, 0.0000, 0.0000]],
  "e_form_raw_ev_per_fu": -1.5,
  "rho_g_cm3": 3.1,
  "de_polymorph_mev_per_atom": 213
}

Record 4
{
  "formula": "Li2ZnBr",
  "functional": "GGA-PBE",
  "state": "optimized geometry",
  "lattice": [[-3.5388, -3.5260, -0.8240], [1.2691, -4.4078, -2.1438], [-0.0254, -4.2520, 2.7486]],
  "species": ["Zn", "Li", "Li", "Br"],
  "frac_coords": [[0.7500, 0.7500, 0.7500], [0.0000, 0.0000, 0.0000], [0.2500, 0.2500, 0.2500], [0.5000, 0.5000, 0.5000]],
  "e_form_raw_ev_per_fu": -0.5,
  "rho_g_cm3": 2.9,
  "de_polymorph_mev_per_atom": 472
}

Record 5
{
  "formula": "LiZnBr3",
  "functional": "GGA-PBE",
  "state": "optimized geometry",
  "lattice": [[-4.3494, 2.2418, -1.1933], [-0.5322, -3.1186, -3.9189], [-2.4832, -3.2582, 2.9300]],
  "species": ["Br", "Br", "Br", "Li", "Zn"],
  "frac_coords": [[0.0000, 0.0000, 0.5000], [0.0000, 0.5000, 0.0000], [0.5000, 0.0000, 0.0000], [0.0000, 0.0000, 0.0000], [0.5000, 0.5000, 0.5000]],
  "e_form_raw_ev_per_fu": -1.6,
  "rho_g_cm3": 4.1,
  "de_polymorph_mev_per_atom": 808
}

Record 6
{
  "formula": "LiZnBr2",
  "functional": "GGA-PBE",
  "state": "optimized geometry",
  "lattice": [[-1.3256, 5.9412, 0.2569], [-4.9334, -0.9518, -3.4463], [-6.6482, 1.4797, 3.7226]],
  "species": ["Br", "Br", "Br", "Br", "Li", "Li", "Zn", "Zn"],
  "frac_coords": [[0.3750, 0.3977, 0.7500], [0.8750, 0.8523, 0.7500], [0.6023, 0.1250, 0.2500], [0.1477, 0.6250, 0.2500], [0.2500, 0.7500, 0.5000], [0.5000, 0.5000, 0.0000], [0.7500, 0.2500, 0.5000], [0.0000, 0.0000, 0.0000]],
  "e_form_raw_ev_per_fu": -3.1,
  "rho_g_cm3": 3.2,
  "de_polymorph_mev_per_atom": 50
}

Record 7
{
  "formula": "LiZnBr3",
  "functional": "GGA-PBE",
  "state": "optimized geometry",
  "lattice": [[6.9051, -0.2462, -0.2375], [1.8094, 8.8082, -0.0012], [1.8094, 0.3130, 8.8027]],
  "species": ["Br", "Br", "Br", "Br", "Br", "Br", "Br", "Br", "Br", "Br", "Br", "Br", "Li", "Li", "Li", "Li", "Zn", "Zn", "Zn", "Zn"],
  "frac_coords": [[0.3880, 0.3723, 0.8719], [0.6033, 0.2887, 0.4451], [0.6271, 0.9726, 0.8006], [0.6120, 0.6277, 0.1281], [0.1033, 0.4451, 0.2887], [0.3729, 0.0274, 0.1994], [0.8967, 0.5549, 0.7113], [0.1120, 0.1281, 0.6277], [0.1271, 0.8006, 0.9726], [0.8880, 0.8719, 0.3723], [0.3967, 0.7113, 0.5549], [0.8729, 0.1994, 0.0274], [0.7500, 0.2505, 0.7495], [0.7500, 0.8915, 0.1085], [0.2500, 0.7495, 0.2505], [0.2500, 0.1085, 0.8915], [0.7079, 0.7867, 0.6073], [0.2079, 0.6073, 0.7867], [0.7921, 0.3927, 0.2133], [0.2921, 0.2133, 0.3927]],
  "e_form_raw_ev_per_fu": -5.6,
  "rho_g_cm3": 3.8,
  "de_polymorph_mev_per_atom": 7
}

Record 8
{
  "formula": "LiZnBr2",
  "functional": "GGA-PBE",
  "state": "optimized geometry",
  "lattice": [[3.9396, 0.0000, 0.0000], [0.0000, 3.9396, 0.0000], [0.0000, 0.0000, 6.1793]],
  "species": ["Zn", "Li", "Br", "Br"],
  "frac_coords": [[0.5000, 0.5000, 0.8755], [0.0000, 0.0000, 0.4117], [0.0000, 0.0000, 0.8542], [0.5000, 0.5000, 0.3586]],
  "e_form_raw_ev_per_fu": -3.3,
  "rho_g_cm3": 4.0,
  "de_polymorph_mev_per_atom": 2
}

Record 9
{
  "formula": "LiZnBr2",
  "functional": "GGA-PBE",
  "state": "optimized geometry",
  "lattice": [[-2.8359, -2.0889, -1.5593], [-1.0818, -3.8380, 7.1091], [-2.5236, 2.6463, 1.0446]],
  "species": ["Zn", "Br", "Br", "Li"],
  "frac_coords": [[0.0000, 0.5000, 0.5000], [0.0000, 0.0000, 0.0000], [0.5000, 0.5000, 0.0000], [0.5000, 0.0000, 0.5000]],
  "e_form_raw_ev_per_fu": -3.0,
  "rho_g_cm3": 3.2,
  "de_polymorph_mev_per_atom": 63
}

Record 10
{
  "formula": "Li4ZnBr",
  "functional": "GGA-PBE",
  "state": "optimized geometry",
  "lattice": [[-1.7152, -3.8935, -3.7607], [-5.5051, -1.3349, -0.3941], [-2.9856, 1.5824, -4.5636]],
  "species": ["Zn", "Li", "Li", "Li", "Li", "Br"],
  "frac_coords": [[0.7500, 0.7500, 0.7500], [0.3765, 0.3765, 0.8705], [0.3765, 0.3765, 0.3765], [0.3765, 0.8705, 0.3765], [0.8705, 0.3765, 0.3765], [0.0000, 0.0000, 0.0000]],
  "e_form_raw_ev_per_fu": -0.5,
  "rho_g_cm3": 2.2
}

Record 11
{
  "formula": "Li2ZnBr",
  "functional": "GGA-PBE",
  "state": "optimized geometry",
  "lattice": [[-5.2441, 1.0299, 1.8236], [-1.6397, -5.3162, 0.9678], [3.4675, 4.1193, 1.7016]],
  "species": ["Li", "Li", "Br", "Zn"],
  "frac_coords": [[0.0359, 0.0359, 0.0000], [0.4641, 0.4641, 0.0000], [0.2500, 0.7500, 0.5000], [0.7500, 0.2500, 0.5000]],
  "e_form_raw_ev_per_fu": -1.8,
  "rho_g_cm3": 2.8,
  "de_polymorph_mev_per_atom": 135
}

Record 12
{
  "formula": "Li2ZnBr",
  "functional": "GGA-PBE",
  "state": "optimized geometry",
  "lattice": [[-2.3974, -5.2571, 2.4208], [1.1992, -1.9181, -2.9779], [3.2587, -0.6799, 1.7506]],
  "species": ["Br", "Li", "Li", "Zn"],
  "frac_coords": [[0.5000, 0.7814, 0.8747], [0.5000, 0.2708, 0.3746], [0.0000, 0.9692, 0.8753], [0.0000, 0.4786, 0.3754]],
  "e_form_raw_ev_per_fu": -2.1,
  "rho_g_cm3": 3.0,
  "de_polymorph_mev_per_atom": 75
}

Record 13
{
  "formula": "Li4ZnBr6",
  "functional": "GGA-PBE",
  "state": "optimized geometry",
  "lattice": [[-4.0613, 6.2163, 1.7789], [-7.5316, -0.2610, 0.1041], [-3.6819, -1.3262, 12.6152]],
  "species": ["Zn", "Zn", "Br", "Br", "Br", "Br", "Br", "Br", "Br", "Br", "Br", "Br", "Br", "Br", "Li", "Li", "Li", "Li", "Li", "Li", "Li", "Li"],
  "frac_coords": [[0.6839, 0.7768, 0.3949], [0.1444, 0.2768, 0.8949], [0.7440, 0.8413, 0.2018], [0.9478, 0.5885, 0.9732], [0.4932, 0.5802, 0.4535], [0.4048, 0.5300, 0.1429], [0.2129, 0.3413, 0.7018], [0.9316, 0.1020, 0.9533], [0.4906, 0.0885, 0.4732], [0.4730, 0.0802, 0.9535], [0.0091, 0.1546, 0.2666], [0.0131, 0.6020, 0.4533], [0.5698, 0.6546, 0.7666], [0.9222, 0.0300, 0.6429], [0.8982, 0.6894, 0.6499], [0.5675, 0.6974, 0.9585], [0.7011, 0.2382, 0.8042], [0.2565, 0.7382, 0.3042], [0.7625, 0.1894, 0.1499], [0.7766, 0.1974, 0.4585], [0.2835, 0.9878, 0.6555], [0.0732, 0.4878, 0.1555]],
  "e_form_raw_ev_per_fu": -14.6,
  "rho_g_cm3": 3.1
}

Record 14
{
  "formula": "LiZnBr2",
  "functional": "GGA-PBE",
  "state": "optimized geometry",
  "lattice": [[7.4238, 0.1065, -0.0005], [6.3359, 3.8704, -0.0005], [-0.0431, -0.0125, 3.9259]],
  "species": ["Li", "Br", "Br", "Zn"],
  "frac_coords": [[0.5402, 0.5402, 0.6224], [0.7285, 0.7285, 0.6294], [0.0148, 0.0148, 0.1188], [0.2166, 0.2166, 0.1294]],
  "e_form_raw_ev_per_fu": -3.2,
  "rho_g_cm3": 3.5,
  "de_polymorph_mev_per_atom": 11
}

Record 15
{
  "formula": "LiZnBr2",
  "functional": "GGA-PBE",
  "state": "optimized geometry",
  "lattice": [[0.0000, 3.5804, 3.5804], [3.5804, 0.0000, 3.5804], [3.5804, 3.5804, 0.0000]],
  "species": ["Li", "Br", "Br", "Zn"],
  "frac_coords": [[0.0000, 0.0000, 0.0000], [0.2500, 0.2500, 0.2500], [0.7500, 0.7500, 0.7500], [0.5000, 0.5000, 0.5000]],
  "e_form_raw_ev_per_fu": -2.2,
  "rho_g_cm3": 4.2,
  "de_polymorph_mev_per_atom": 265
}

Record 16
{
  "formula": "LiZnBr2",
  "functional": "GGA-PBE",
  "state": "optimized geometry",
  "lattice": [[-4.9871, 0.8405, -2.6726], [-1.8268, -4.4020, 3.1632], [1.5194, 5.4931, 0.4883]],
  "species": ["Br", "Br", "Zn", "Li"],
  "frac_coords": [[0.9828, 0.9828, 0.0000], [0.5172, 0.5172, 0.0000], [0.2500, 0.7500, 0.5000], [0.7500, 0.2500, 0.5000]],
  "e_form_raw_ev_per_fu": -2.7,
  "rho_g_cm3": 3.5,
  "de_polymorph_mev_per_atom": 154
}

Record 17
{
  "formula": "Li2ZnBr",
  "functional": "GGA-PBE",
  "state": "optimized geometry",
  "lattice": [[3.5602, 0.0000, 0.0000], [0.0000, 3.6069, -0.1847], [0.0000, 2.0284, 6.2403]],
  "species": ["Li", "Li", "Br", "Zn"],
  "frac_coords": [[0.0000, 0.8482, 0.0199], [0.0000, 0.6518, 0.4801], [0.5000, 0.7500, 0.7500], [0.5000, 0.2500, 0.2500]],
  "e_form_raw_ev_per_fu": -2.3,
  "rho_g_cm3": 3.2,
  "de_polymorph_mev_per_atom": 0
}

Record 18
{
  "formula": "LiZnBr2",
  "functional": "GGA-PBE",
  "state": "optimized geometry",
  "lattice": [[4.2357, -0.0268, 0.0000], [-2.4910, 3.4259, 0.0000], [0.0000, 0.0000, 7.6999]],
  "species": ["Li", "Br", "Br", "Zn"],
  "frac_coords": [[0.5000, 0.5000, 0.2500], [0.0000, 0.0000, 0.4814], [0.0000, 0.0000, 0.0186], [0.5000, 0.5000, 0.7500]],
  "e_form_raw_ev_per_fu": -2.7,
  "rho_g_cm3": 3.5,
  "de_polymorph_mev_per_atom": 153
}

Record 19
{
  "formula": "Li2ZnBr",
  "functional": "GGA-PBE",
  "state": "optimized geometry",
  "lattice": [[-6.2677, -2.9912, 1.5672], [-0.8590, -1.7832, -6.8388], [-1.9201, -5.5118, -2.0275]],
  "species": ["Li", "Li", "Li", "Li", "Br", "Br", "Zn", "Zn"],
  "frac_coords": [[0.8750, 0.9072, 0.7500], [0.0928, 0.6250, 0.2500], [0.6572, 0.1250, 0.2500], [0.3750, 0.3428, 0.7500], [0.0000, 0.0000, 0.0000], [0.7500, 0.2500, 0.5000], [0.5000, 0.5000, 0.0000], [0.2500, 0.7500, 0.5000]],
  "e_form_raw_ev_per_fu": -1.9,
  "rho_g_cm3": 2.9,
  "de_polymorph_mev_per_atom": 109
}

Record 20
{
  "formula": "LiZnBr2",
  "functional": "GGA-PBE",
  "state": "optimized geometry",
  "lattice": [[-2.0701, -5.4558, 0.3929], [1.1918, -0.7309, -3.8703], [3.7936, -1.3804, 0.8197]],
  "species": ["Br", "Br", "Zn", "Li"],
  "frac_coords": [[0.5000, 0.3654, 0.3655], [0.0000, 0.8457, 0.8458], [0.5000, 0.8644, 0.8644], [0.0000, 0.4245, 0.4244]],
  "e_form_raw_ev_per_fu": -3.3,
  "rho_g_cm3": 3.9,
  "de_polymorph_mev_per_atom": 0
}